[1]
Computed, not measured: a geometry-optimized SnHgBrCl2 structure at the PBE level of DFT.

Cell: 5.314 5.314 5.689 Å, 90.00 90.00 90.00°
Space group P4/mmm (No. 123)
One atom of each set of equivalent atoms:
Sn (0.000, 0.000, 0.000) x1
Hg (0.500, 0.500, 0.500) x1
Br (0.000, 0.000, 0.500) x1
Cl (0.000, 0.500, 0.000) x2

- raw formation energy (kJ/mol of formula units) = -269.1
- crystal system = tetragonal


[2]
Computed, not measured: a geometry-optimized CdHPd2 structure at the PBE level of DFT.

Cell: 2.9810 2.9810 20.5436 Å, 90.00 90.00 120.00°
Space group R3m (No. 160, hexagonal axes)
One atom of each set of equivalent atoms:
Cd (0.0000, 0.0000, 0.0000) x3
H (0.0000, 0.0000, 0.1727) x3
Pd (0.0000, 0.0000, 0.5553) x3
Pd (0.0000, 0.0000, 0.7762) x3

- crystal system = trigonal
- E above lowest polymorph (eV/atom) = 0.062


[3]
Computed, not measured: a geometry-optimized MoAsBr2 structure at the PBE level of DFT.

Cell: 3.4106 3.4106 26.5800 Å, 90.00 90.00 120.00°
Space group R3m (No. 160, hexagonal axes)
One atom of each set of equivalent atoms:
Mo (0.0000, 0.0000, 0.0000) x3
As (0.0000, 0.0000, 0.2714) x3
Br (0.0000, 0.0000, 0.5245) x3
Br (0.0000, 0.0000, 0.7346) x3

- raw formation energy (kJ/mol of formula units) = 17.6
- crystal system = trigonal
- E above lowest polymorph (eV/atom) = 0.220


no.,size of the total moment (μB/cell)
1,0.00
2,0.00
3,0.01